1.
An optimized crystal structure of SnMo4PbC2, computed with PBE.

Summary:
Its crystal system is hexagonal. For the total magnetization, the calculation gives 0.0017 μB per atom. For the total energy, the calculation gives -8.58 eV per atom.

a b c (Å): 3.2131 3.2131 13.6890
angles (deg): 90.00 90.00 120.00
Positions (direct):
Sn1 0.0000 0.0000 0.0000
Mo1 0.0000 0.0000 0.3242
Mo2 0.0000 0.0000 0.6758
Mo3 0.3333 0.6667 0.1660
Mo4 0.3333 0.6667 0.8340
Pb1 0.3333 0.6667 0.5000
C1 0.6667 0.3333 0.2468
C2 0.6667 0.3333 0.7532

2.
An optimized crystal structure of AcFeOs, computed with PBE.

Summary:
For the formation energy, the calculation gives 0.727 eV per atom. Its crystal system is cubic. For the total magnetization, the calculation gives 1.1868 μB per atom.

a b c (Å): 4.5630 4.5630 4.5630
angles (deg): 60.00 60.00 60.00
Positions (direct):
Ac1 0.0000 0.0000 0.0000
Fe1 0.2500 0.2500 0.2500
Os1 0.5000 0.5000 0.5000

3.
An optimized crystal structure of Tl2CuIrF6, computed with PBE.

Summary:
Its crystal system is cubic. For the total magnetization, the calculation gives 0.0005 μB per atom. For the total energy, the calculation gives -4.27 eV per atom.

a b c (Å): 5.8209 5.8209 5.8209
angles (deg): 60.00 60.00 60.00
Positions (direct):
Tl1 0.2500 0.2500 0.2500
Tl2 0.7500 0.7500 0.7500
Cu1 0.0000 0.0000 0.0000
Ir1 0.5000 0.5000 0.5000
F1 0.2509 0.2509 0.7491
F2 0.2509 0.7491 0.2509
F3 0.2509 0.7491 0.7491
F4 0.7491 0.2509 0.2509
F5 0.7491 0.2509 0.7491
F6 0.7491 0.7491 0.2509

4.
An optimized crystal structure of Ga2Mo, computed with PBE.

Summary:
As for the polymorph energy (0 for the lowest one): 75 kJ/mol of formula units. Its crystal system is cubic. For the total magnetization, the calculation gives 0.0084 μB per atom.

a b c (Å): 5.0223 5.0223 5.0223
angles (deg): 60.00 60.00 60.00
Positions (direct):
Ga1 0.0000 0.0000 0.0000
Ga2 0.0000 0.0000 0.5000
Ga3 0.0000 0.5000 0.0000
Ga4 0.5000 0.0000 0.0000
Mo1 0.3750 0.3750 0.3750
Mo2 0.6250 0.6250 0.6250

5.
An optimized crystal structure of KRbPbAu, computed with PBE.

Summary:
As for the polymorph energy (0 for the lowest one): 0 kJ/mol of formula units. Its crystal system is monoclinic.

a b c (Å): 8.3811 8.3811 9.0549
angles (deg): 101.03 101.03 35.83
Positions (direct):
K1 0.1222 0.1222 0.2319
K2 0.8778 0.8778 0.7681
Rb1 0.3878 0.3878 0.3273
Rb2 0.6122 0.6122 0.6727
Pb1 0.2496 0.2496 0.9047
Pb2 0.7504 0.7504 0.0953
Au1 0.2504 0.2504 0.5777
Au2 0.7496 0.7496 0.4223

6.
An optimized crystal structure of LiAlCoSb, computed with PBE.

Summary:
As for the polymorph energy (0 for the lowest one): 0 kJ/mol of formula units. Its crystal system is cubic. For the total magnetization, the calculation gives 0.0007 μB per atom.

a b c (Å): 4.3457 4.3457 4.3457
angles (deg): 60.00 60.00 60.00
Positions (direct):
Li1 0.0000 0.0000 0.0000
Al1 0.7500 0.7500 0.7500
Co1 0.5000 0.5000 0.5000
Sb1 0.2500 0.2500 0.2500